# 1
4
Lattice="0.0000 2.5544 5.8971 2.5490 0.0000 5.8971 2.5490 2.5544 0.0000" Properties=species:S:1:pos:R:3 comment="Er2GeH (PBE, relaxed)" m_tot_mub_per_fu=0.00 density_g_cm3=8.83 e_tot_ev_per_cell=-19.57 de_polymorph_mev_per_atom=0.0 pbc="T T T"
Er 2.5490 2.5544 1.7212
Er 2.5490 2.5544 10.0730
Ge 2.5490 2.5544 5.8971
H 3.8236 3.8316 8.8457

=====

# 2
12
Lattice="6.3008 -2.8457 0.0000 6.3008 2.8457 0.0000 -2.5442 0.0000 7.6060" Properties=species:S:1:pos:R:3 comment="Er3Ge2H (PBE, relaxed)" m_tot_mub_per_fu=0.00 density_g_cm3=7.89 e_tot_ev_per_cell=-59.52 pbc="T T T"
Er 4.3926 2.6527 5.7045
Er 3.1346 0.0131 3.1612
Er 1.8625 -0.0131 6.9642
Er 8.1948 0.0131 0.6417
Er 6.9227 -0.0131 4.4447
Er 5.6647 -2.6527 1.9015
Ge 1.8602 0.0179 0.6203
Ge 0.5881 -0.0179 4.4233
Ge 9.4692 0.0179 3.1827
Ge 8.1971 -0.0179 6.9857
H 4.3926 0.2693 5.7045
H 5.6647 -0.2693 1.9015

=====

# 3
80
Lattice="-7.5248 7.5248 7.5248 7.5248 -7.5248 7.5248 7.5248 7.5248 -7.5248" Properties=species:S:1:pos:R:3 comment="Er12Ge3H5 (PBE, relaxed)" m_tot_mub_per_fu=0.00 density_g_cm3=8.69 e_tot_ev_per_cell=-373.00 pbc="T T T"
Er 2.3073 -0.5772 0.8804
Er 8.9799 4.6428 -4.3396
Er 6.9477 -0.8804 2.3073
Er 11.8644 -1.4551 2.8820
Er 9.8322 0.5772 0.8804
Er 8.9799 -2.8820 4.3396
Er 0.8804 2.3073 -0.5772
Er 10.4068 3.1852 -1.4551
Er 4.6428 4.3396 -1.4551
Er 6.6444 2.3073 0.5772
Er -0.5772 0.8804 2.3073
Er 4.3396 -1.4551 4.6428
Er 6.9477 6.6444 -2.3073
Er 4.3396 1.4551 2.8820
Er 6.6444 -2.3073 6.9477
Er 4.6428 -4.3396 8.9799
Er 2.8820 4.3396 1.4551
Er 8.4053 5.2175 0.5772
Er 2.3073 6.9477 -0.8804
Er 8.9799 2.8820 3.1852
Er 4.3396 8.9799 -2.8820
Er 6.9477 0.8804 5.2175
Er 1.4551 2.8820 4.3396
Er 2.3073 0.5772 6.6444
Er 5.2175 6.9477 0.8804
Er 6.0697 4.6428 3.1852
Er 0.5772 6.6444 2.3073
Er 3.1852 -1.4551 10.4068
Er -1.4551 4.6428 4.3396
Er 5.2175 0.5772 8.4053
Er -0.8804 2.3073 6.9477
Er 4.6428 3.1852 6.0697
Er 2.8820 11.8644 -1.4551
Er 0.8804 9.8322 0.5772
Er 3.1852 6.0697 4.6428
Er 0.5772 0.8804 9.8322
Er 3.1852 8.9799 2.8820
Er 8.1020 6.6444 5.2175
Er 0.8804 5.2175 6.9477
Er 2.8820 3.1852 8.9799
Er -2.8820 4.3396 8.9799
Er 6.6444 5.2175 8.1020
Er -1.4551 10.4068 3.1852
Er -2.3073 6.9477 6.6444
Er -4.3396 8.9799 4.6428
Er 0.5772 8.4053 5.2175
Er -1.4551 2.8820 11.8644
Er 5.2175 8.1020 6.6444
Ge 3.7624 1.8812 0.0000
Ge 7.5248 3.7624 -1.8812
Ge 1.8812 0.0000 3.7624
Ge 9.4060 0.0000 3.7624
Ge 0.0000 3.7624 1.8812
Ge 3.7624 -1.8812 7.5248
Ge 3.7624 9.4060 0.0000
Ge 7.5248 3.7624 5.6436
Ge -1.8812 7.5248 3.7624
Ge 5.6436 7.5248 3.7624
Ge 0.0000 3.7624 9.4060
Ge 3.7624 5.6436 7.5248
H 0.0000 0.0000 0.0000
H 3.7624 3.7624 -3.7624
H 3.7624 -3.7624 3.7624
H 7.5248 0.0000 0.0000
H 11.2872 1.8812 0.0000
H 7.5248 -3.7624 5.6436
H 5.6436 7.5248 -3.7624
H 5.6436 0.0000 3.7624
H 3.7624 5.6436 0.0000
H 7.5248 3.7624 1.8812
H -3.7624 3.7624 3.7624
H 0.0000 7.5248 0.0000
H 0.0000 0.0000 7.5248
H 3.7624 3.7624 3.7624
H 0.0000 3.7624 5.6436
H 3.7624 1.8812 7.5248
H 1.8812 7.5248 3.7624
H 1.8812 0.0000 11.2872
H 0.0000 11.2872 1.8812
H -3.7624 5.6436 7.5248

=====

# 4
8
Lattice="4.4134 0.0000 0.0000 0.0000 4.4134 0.0000 0.0000 0.0000 8.4164" Properties=species:S:1:pos:R:3 comment="NdErGeH (PBE, relaxed)" m_tot_mub_per_fu=0.00 density_g_cm3=7.80 e_tot_ev_per_cell=-39.61 pbc="T T T"
Nd 1.1033 1.1033 1.0700
Nd 3.3100 3.3100 7.3465
Er 1.1033 3.3100 4.2082
Er 3.3100 1.1033 4.2082
Ge 1.1033 1.1033 6.1560
Ge 3.3100 3.3100 2.2605
H 1.1033 3.3100 0.0000
H 3.3100 1.1033 0.0000

=====

# 5
11
Lattice="-2.2783 2.2783 11.7698 2.2783 -2.2783 11.7698 2.2783 2.2783 -11.7698" Properties=species:S:1:pos:R:3 comment="Nd2Er4Ge3H2 (PBE, relaxed)" m_tot_mub_per_fu=0.00 density_g_cm3=8.00 e_tot_ev_per_cell=-55.16 pbc="T T T"
Nd 0.0000 0.0000 4.7141
Nd 0.0000 0.0000 18.8255
Er 2.2783 0.0000 1.8655
Er 2.2783 0.0000 9.9043
Er 0.0000 2.2783 1.8655
Er 0.0000 2.2783 9.9043
Ge 0.0000 0.0000 7.8126
Ge 0.0000 0.0000 11.7698
Ge 0.0000 0.0000 15.7271
H 0.0000 0.0000 2.2308
H 0.0000 0.0000 21.3089

=====

# 6
8
Lattice="3.9303 0.0000 0.0000 0.0000 3.9303 0.0000 0.0000 0.0000 7.1782" Properties=species:S:1:pos:R:3 comment="ErNiGeH (PBE, relaxed)" m_tot_mub_per_fu=0.00 density_g_cm3=8.97 e_tot_ev_per_cell=-42.32 pbc="T T T"
Er 0.9826 0.9826 1.1602
Er 2.9477 2.9477 6.0180
Ni 0.9826 2.9477 3.5891
Ni 2.9477 0.9826 3.5891
Ge 0.9826 0.9826 4.9141
Ge 2.9477 2.9477 2.2641
H 0.9826 2.9477 0.0000
H 2.9477 0.9826 0.0000

=====

# 7
12
Lattice="-1.9478 1.9478 10.3205 1.9478 -1.9478 10.3205 1.9478 1.9478 -10.3205" Properties=species:S:1:pos:R:3 comment="Er2Ni5Ge3H2 (PBE, relaxed)" m_tot_mub_per_fu=0.00 density_g_cm3=8.99 e_tot_ev_per_cell=-63.63 pbc="T T T"
Er 0.0000 0.0000 4.0034
Er 0.0000 0.0000 16.6377
Ni 0.0000 0.0000 0.0000
Ni 1.9478 0.0000 1.6842
Ni 1.9478 0.0000 8.6364
Ni 0.0000 1.9478 1.6842
Ni 0.0000 1.9478 8.6364
Ge 0.0000 0.0000 7.0638
Ge 0.0000 0.0000 10.3205
Ge 0.0000 0.0000 13.5773
H 0.0000 0.0000 1.6441
H 0.0000 0.0000 18.9970

=====

# 8
10
Lattice="4.9302 -2.8218 0.0000 4.9302 2.8218 0.0000 -3.3590 0.0000 5.9698" Properties=species:S:1:pos:R:3 comment="Er2GeHPd6 (PBE, relaxed)" m_tot_mub_per_fu=0.00 density_g_cm3=10.46 e_tot_ev_per_cell=-55.38 pbc="T T T"
Er 1.5780 0.0000 1.0194
Er 4.9234 0.0000 4.9504
Ge 4.9302 0.0000 0.0000
H -1.6795 0.0000 2.9849
Pd 0.0097 0.0000 4.0576
Pd 2.4853 1.4202 4.1722
Pd 4.0160 1.4202 1.7976
Pd 2.4853 -1.4202 4.1722
Pd 4.0160 -1.4202 1.7976
Pd 6.4916 0.0000 1.9122

=====

# 9
10
Lattice="-3.0330 3.0330 4.2794 3.0330 -3.0330 4.2794 3.0330 3.0330 -4.2794" Properties=species:S:1:pos:R:3 comment="Er2GeHRh6 (PBE, relaxed)" m_tot_mub_per_fu=0.00 density_g_cm3=10.82 e_tot_ev_per_cell=-67.14 pbc="T T T"
Er 3.0330 0.0000 2.1397
Er 0.0000 3.0330 2.1397
Ge 0.0000 0.0000 0.0000
H 0.0000 0.0000 4.2794
Rh 1.6515 1.6515 0.0000
Rh 1.3814 -1.3814 4.2794
Rh 0.0000 0.0000 2.3340
Rh 0.0000 0.0000 6.2247
Rh -1.3814 1.3814 4.2794
Rh 1.3814 1.3814 4.2794

=====

# 10
8
Lattice="4.0877 0.0000 0.0000 0.0000 4.0877 0.0000 0.0000 0.0000 7.1519" Properties=species:S:1:pos:R:3 comment="ErGeHRu (PBE, relaxed)" m_tot_mub_per_fu=0.00 density_g_cm3=9.50 e_tot_ev_per_cell=-48.89 pbc="T T T"
Er 1.0219 1.0219 1.1325
Er 3.0657 3.0657 6.0195
Ge 1.0219 1.0219 4.9557
Ge 3.0657 3.0657 2.1962
H 1.0219 3.0657 0.0000
H 3.0657 1.0219 0.0000
Ru 1.0219 3.0657 3.5760
Ru 3.0657 1.0219 3.5760

=====

# 11
10
Lattice="1.6377 -5.7188 0.0000 1.6377 5.7188 0.0000 0.0000 0.0000 7.6329" Properties=species:S:1:pos:R:3 comment="ErGeHRu2 (PBE, relaxed)" m_tot_mub_per_fu=0.06 density_g_cm3=10.29 e_tot_ev_per_cell=-66.44 pbc="T T T"
Er 1.6377 5.3794 5.7247
Er 1.6377 -5.3794 1.9082
Ge 1.6377 2.9235 1.9082
Ge 1.6377 -2.9235 5.7247
H 1.6377 0.0000 0.0000
H 1.6377 0.0000 3.8165
Ru 1.6377 1.7075 4.1512
Ru 1.6377 1.7075 7.2982
Ru 1.6377 -1.7075 0.3347
Ru 1.6377 -1.7075 3.4817

=====

# 12
16
Lattice="4.0289 2.3261 6.6485 -4.0289 2.3261 6.6485 0.0000 -4.6522 6.6485" Properties=species:S:1:pos:R:3 comment="Er8Ge3HSe4 (PBE, relaxed)" m_tot_mub_per_fu=0.00 density_g_cm3=8.32 e_tot_ev_per_cell=-87.58 pbc="T T T"
Er -2.0406 -1.1782 11.5637
Er 0.0000 0.0000 4.9070
Er 0.0000 -2.3563 8.3817
Er -2.0406 1.1782 8.3817
Er 2.0406 -1.1781 11.5637
Er 0.0000 2.3563 11.5637
Er 0.0000 0.0000 15.0384
Er 2.0406 1.1782 8.3817
Ge -4.0289 0.0000 9.9727
Ge -2.0144 1.1630 3.3242
Ge 2.0144 1.1630 3.3242
H 0.0000 0.0000 9.9727
Se 0.0000 0.0000 0.0000
Se -2.0144 -1.1630 6.6485
Se -2.0144 1.1630 13.2969
Se 0.0000 2.3261 6.6485

=====

# 13
16
Lattice="4.1533 2.3979 6.9631 -4.1533 2.3979 6.9631 0.0000 -4.7958 6.9631" Properties=species:S:1:pos:R:3 comment="Er8Ge3Te4H (PBE, relaxed)" m_tot_mub_per_fu=0.00 density_g_cm3=8.25 e_tot_ev_per_cell=-82.50 pbc="T T T"
Er -2.1109 -1.2187 11.9791
Er 0.0000 0.0000 5.0066
Er 0.0000 -2.4375 8.9103
Er -2.1109 1.2187 8.9103
Er 2.1109 -1.2187 11.9791
Er 0.0000 2.4375 11.9791
Er 0.0000 0.0000 15.8828
Er 2.1109 1.2187 8.9103
Ge -4.1533 0.0000 10.4447
Ge -2.0766 1.1990 3.4816
Ge 2.0767 1.1990 3.4816
Te 0.0000 0.0000 0.0000
Te -2.0767 -1.1990 6.9631
Te -2.0766 1.1990 13.9262
Te 0.0000 2.3979 6.9631
H 0.0000 0.0000 10.4447

=====

# 14
3
Lattice="4.5968 0.0000 0.0000 -2.2984 3.9809 0.0000 0.0000 0.0000 3.8073" Properties=species:S:1:pos:R:3 comment="ErHfGe (PBE, relaxed)" m_tot_mub_per_fu=0.00 density_g_cm3=9.97 e_tot_ev_per_cell=-19.73 ef_ev_per_atom=-0.199 pbc="T T T"
Er 0.0000 0.0000 0.0000
Hf 0.0000 2.6540 1.8616
Ge 2.2984 1.3270 2.3174

=====

# 15
9
Lattice="7.5143 0.0000 0.0000 -3.7572 6.5076 0.0000 0.0000 0.0000 4.0844" Properties=species:S:1:pos:R:3 comment="ErHfGe (PBE, relaxed)" m_tot_mub_per_fu=0.00 density_g_cm3=10.44 e_tot_ev_per_cell=-62.72 ef_ev_per_atom=-0.591 pbc="T T T"
Er -2.2240 3.8521 0.0000
Er 1.5331 2.6555 0.0000
Er 4.4480 0.0000 0.0000
Hf -0.9245 1.6013 2.0422
Hf 1.8490 0.0000 2.0422
Hf 2.8326 4.9063 2.0422
Ge 0.0000 0.0000 0.0000
Ge 0.0000 4.3384 2.0422
Ge 3.7572 2.1692 2.0422

=====

# 16
18
Lattice="7.3792 0.0000 0.0000 0.0000 7.3604 0.0000 -2.4505 0.0000 6.7491" Properties=species:S:1:pos:R:3 comment="Er2Hf3Ge4 (PBE, relaxed)" m_tot_mub_per_fu=0.00 density_g_cm3=10.51 e_tot_ev_per_cell=-129.59 ef_ev_per_atom=-0.815 pbc="T T T"
Er 1.2323 1.2662 0.4199
Er 0.0071 2.4140 3.7944
Er 4.9216 4.9464 2.9547
Er 3.6964 6.0943 6.3292
Hf 1.2506 4.9626 1.6680
Hf 0.0253 6.0781 5.0426
Hf 2.4643 0.0000 3.3745
Hf 3.6896 3.6802 0.0000
Hf 4.9034 1.2824 1.7065
Hf 3.6781 2.3978 5.0811
Ge -1.4673 3.9361 5.7452
Ge -0.2420 7.1046 2.3706
Ge 1.4799 0.9896 5.8166
Ge 2.7052 2.6906 2.4420
Ge 2.2235 4.6698 4.3070
Ge 3.4488 6.3708 0.9325
Ge 5.1707 0.2558 4.3785
Ge 6.3960 3.4244 1.0039

=====

# 17
11
Lattice="-2.1544 2.1544 11.3125 2.1544 -2.1544 11.3125 2.1544 2.1544 -11.3125" Properties=species:S:1:pos:R:3 comment="Er2Hf4Ge3N2 (PBE, relaxed)" m_tot_mub_per_fu=0.00 density_g_cm3=10.23 e_tot_ev_per_cell=-90.61 e_form_raw_ev_per_atom=-1.02 pbc="T T T"
Er 0.0000 0.0000 4.4151
Er 0.0000 0.0000 18.2099
Hf 2.1544 0.0000 1.7778
Hf 2.1544 0.0000 9.5347
Hf 0.0000 2.1544 1.7778
Hf 0.0000 2.1544 9.5347
Ge 0.0000 0.0000 7.4144
Ge 0.0000 0.0000 11.3125
Ge 0.0000 0.0000 15.2106
N 0.0000 0.0000 2.0552
N 0.0000 0.0000 20.5698

=====

# 18
3
Lattice="-1.8148 1.8148 5.2399 1.8148 -1.8148 5.2399 1.8148 1.8148 -5.2399" Properties=species:S:1:pos:R:3 comment="ErHgGe (PBE, relaxed)" m_tot_mub_per_fu=0.00 density_g_cm3=10.60 e_tot_ev_per_cell=-10.28 ef_ev_per_atom=-0.266 pbc="T T T"
Er 0.0000 0.0000 0.0000
Hg 0.0000 0.0000 3.3815
Ge 0.0000 0.0000 7.0161

=====

# 19
4
Lattice="4.2796 0.0000 0.0000 0.0000 4.2796 0.0000 0.0000 0.0000 4.9064" Properties=species:S:1:pos:R:3 comment="ErHg2Ge (PBE, relaxed)" m_tot_mub_per_fu=0.00 density_g_cm3=11.85 e_tot_ev_per_cell=-11.22 de_polymorph_mev_per_atom=0.0 ef_ev_per_atom=-0.359 pbc="T T T"
Er 0.0000 0.0000 0.0000
Hg 0.0000 2.1398 2.4532
Hg 2.1398 0.0000 2.4532
Ge 2.1398 2.1398 0.0000

=====

# 20
4
Lattice="1.6645 0.9610 10.8310 -1.6645 0.9610 10.8310 0.0000 -1.9220 10.8310" Properties=species:S:1:pos:R:3 comment="ErHg2Ge (PBE, relaxed)" m_tot_mub_per_fu=0.00 density_g_cm3=10.24 e_tot_ev_per_cell=-8.82 de_polymorph_mev_per_atom=600.5 ef_ev_per_atom=0.242 pbc="T T T"
Er 0.0000 0.0000 0.0000
Hg 0.0000 0.0000 3.0159
Hg 0.0000 0.0000 29.4771
Ge 0.0000 0.0000 16.2465